A relaxed structure of HfV4Tc. Source: the Alexandria database, functional PBE.

Its density of states at the Fermi level is 3.4 states/eV/cell. As for the raw total energy: -9.569 eV per atom. As for the formation energy: -0.10 eV per atom.

Cell lengths 5.0295, 5.0295, 5.0295 Å; angles 60.00, 60.00, 60.00 degrees
With the nearest neighbours (Å) after each atom.
Sites, in units of the cell vectors:
V: 0.6249 0.6249 0.6249  6 V 2.51-2.52
V: 0.1254 0.6249 0.6249  6 V 2.51-2.52
V: 0.6249 0.6249 0.1254  6 V 2.51-2.52
V: 0.6249 0.1254 0.6249  6 V 2.51-2.52
Tc: 0.0000 0.0000 0.0000  12 V 2.95, 4 Hf 3.08
Hf: 0.2500 0.2500 0.2500  12 V 2.95, 4 Tc 3.08